LuAgAu: relaxed, PBE.

Geometry as CIF:
```
data_LuAgAu
_chemical_formula_sum 'Lu4 Ag4 Au4'
_symmetry_space_group_name_H-M 'F -4 3 m'
_symmetry_Int_Tables_number 216
_symmetry_space_group_name_Hall 'F -4 2 3'
_cell_length_a 6.654
_cell_length_b 6.654
_cell_length_c 6.654
_cell_angle_alpha 90.00
_cell_angle_beta 90.00
_cell_angle_gamma 90.00
loop_
_atom_site_label
_atom_site_type_symbol
_atom_site_fract_x
_atom_site_fract_y
_atom_site_fract_z
Lu1 Lu 0.000 0.000 0.000
Ag1 Ag 0.250 0.250 0.750
Au1 Au 0.250 0.250 0.250
```

Results
ΔE_f: -0.245 eV per atom

=====

YLuAgAu: relaxed, PBE.

Geometry as CIF:
```
data_YLuAgAu
_chemical_formula_sum 'Y4 Lu4 Ag4 Au4'
_symmetry_space_group_name_H-M 'F -4 3 m'
_symmetry_Int_Tables_number 216
_symmetry_space_group_name_Hall 'F -4 2 3'
_cell_length_a 6.963
_cell_length_b 6.963
_cell_length_c 6.963
_cell_angle_alpha 90.00
_cell_angle_beta 90.00
_cell_angle_gamma 90.00
loop_
_atom_site_label
_atom_site_type_symbol
_atom_site_fract_x
_atom_site_fract_y
_atom_site_fract_z
Y1 Y 0.000 0.000 0.000
Lu1 Lu 0.250 0.250 0.750
Ag1 Ag 0.250 0.250 0.250
Au1 Au 0.000 0.000 0.500
```

Results
ΔE_f: -0.336 eV per atom

=====

Number 1: E_tot -3.784 eV per atom. Number 2: E_tot -4.606 eV per atom.